Material: NaTiBe3
Method: DFT, SCAN
State: PBEsol geometry

a = 4.6770 Å, b = 4.6770 Å, c = 4.6770 Å
α = 90.00°, β = 90.00°, γ = 90.00°
Last column: nearest neighbours and their distance in Å.
Space group Pm-3m (No. 221)
Symmetry-distinct sites (fractional):
Na 0.0000 0.0000 0.0000 [1 per cell]  12 Be 3.31
Ti 0.5000 0.5000 0.5000 [1 per cell]  6 Be 2.34
Be 0.0000 0.5000 0.5000 [3 per cell]  2 Ti 2.34

Computed properties:
ΔH_f (0 K): 1325 meV/atom
DOS at the Fermi energy: 3.46 states/eV per cell
electronic total energy: -5.337 eV per atom
V: 102.3 Å³ per cell